(a)
DFT (PBE) results for a relaxed TlSbCl2 crystal.

As for the crystal system: monoclinic. For the volume, the calculation gives 116.8 Å³ per cell.

Unit cell a=5.1302 b=5.1302 c=6.8882 alpha=90.45 beta=90.45 gamma=40.13
Last column: nearest neighbours and their distance in Å.
Fractional positions:
Cl: 0.9654 0.9654 0.9864  1 Sb 2.63
Sb: 0.7500 0.7500 0.7500  2 Cl 2.63
Cl: 0.5346 0.5346 0.5136  1 Sb 2.63
Tl: 0.2500 0.2500 0.2500  6 Cl 3.28, 2 Tl 3.52

(b)
DFT (PBE) results for a relaxed TlSbCl2 crystal.

As for the crystal system: orthorhombic. For the volume, the calculation gives 114.4 Å³ per cell.

Unit cell a=3.4001 b=5.4390 c=6.1883 alpha=90.00 beta=90.00 gamma=90.00
Last column: nearest neighbours and their distance in Å.
Fractional positions:
Sb: 0.0000 0.0000 0.3754  1 Cl 2.70
Cl: 0.5000 0.5000 0.3384  2 Tl 3.04-3.14, 4 Sb 3.22, 2 Cl 3.40
Cl: 0.0000 0.0000 0.9397  1 Sb 2.70
Tl: 0.5000 0.5000 0.8465  6 Cl 3.04-3.26, 2 Tl 3.40

(c)
DFT (PBE) results for a relaxed TlSbCl2 crystal.

As for the crystal system: tetragonal. For the volume, the calculation gives 118.4 Å³ per cell.

Unit cell a=3.4514 b=3.4514 c=9.9405 alpha=90.00 beta=90.00 gamma=90.00
Last column: nearest neighbours and their distance in Å.
Fractional positions:
Cl: 0.0000 0.0000 0.9516  4 Tl 2.93
Tl: 0.5000 0.5000 0.7885  4 Cl 2.93
Sb: 0.0000 0.0000 0.4698  4 Cl 3.02
Cl: 0.5000 0.5000 0.2901  4 Sb 3.02

Most stable structure, least stable structure: (a), (c).

(a)
DFT (PBE) results for a relaxed TlSbCl2 crystal.

As for the crystal system: orthorhombic. For the volume, the calculation gives 129.1 Å³ per cell.

Unit cell a=3.8160 b=3.8160 c=9.4646 alpha=90.00 beta=90.00 gamma=110.44
Last column: nearest neighbours and their distance in Å.
Fractional positions:
Sb: 0.0000 0.0000 0.4610  2 Cl 2.65
Tl: 0.5000 0.5000 0.7788  2 Cl 2.76
Cl: 0.0000 0.0000 0.9587  2 Tl 2.76
Cl: 0.5000 0.5000 0.3015  2 Sb 2.65

(b)
DFT (PBE) results for a relaxed TlSbCl2 crystal.

As for the crystal system: orthorhombic. For the volume, the calculation gives 107.5 Å³ per cell.

Unit cell a=3.5804 b=3.5804 c=9.7271 alpha=90.00 beta=90.00 gamma=120.44
Last column: nearest neighbours and their distance in Å.
Fractional positions:
Cl: 0.0000 0.0000 0.4806  2 Sb 2.86, 2 Tl 3.17
Sb: 0.5000 0.5000 0.2500  4 Cl 2.86
Tl: 0.5000 0.5000 0.7500  4 Cl 3.17
Cl: 0.0000 0.0000 0.0194  2 Sb 2.86, 2 Tl 3.17

(c)
DFT (PBE) results for a relaxed TlSbCl2 crystal.

As for the crystal system: monoclinic. For the volume, the calculation gives 114.1 Å³ per cell.

Unit cell a=4.5401 b=3.6013 c=6.9798 alpha=89.55 beta=90.00 gamma=90.00
Last column: nearest neighbours and their distance in Å.
Fractional positions:
Sb: 0.5000 0.2500 0.2500  4 Cl 2.83
Cl: 0.0000 0.2560 0.4917  2 Sb 2.83
Tl: 0.5000 0.7500 0.7500  8 Cl 3.41-3.42, 2 Tl 3.60
Cl: 0.0000 0.2440 0.0083  2 Sb 2.83

(d)
DFT (PBE) results for a relaxed TlSbCl2 crystal.

As for the crystal system: orthorhombic. For the volume, the calculation gives 120.8 Å³ per cell.

Unit cell a=6.1476 b=6.1476 c=6.1476 alpha=141.74 beta=121.10 gamma=72.43
Last column: nearest neighbours and their distance in Å.
Fractional positions:
Cl: 0.9395 0.9395 0.0000  2 Sb 2.76
Cl: 0.5605 0.5605 0.0000  2 Sb 2.76
Sb: 0.7500 0.2500 0.5000  4 Cl 2.76
Tl: 0.2500 0.7500 0.5000  8 Cl 3.56-3.68, 4 Sb 3.63

Most stable structure, least stable structure: (d), (a).

(a)
DFT (PBE) results for a relaxed TlSbCl2 crystal.

As for the crystal system: tetragonal. For the volume, the calculation gives 241.9 Å³ per cell.

Unit cell a=5.0460 b=5.0460 c=10.1489 alpha=75.61 beta=75.61 gamma=90.00
Last column: nearest neighbours and their distance in Å.
Fractional positions:
Cl: 0.3750 0.4208 0.7500  2 Sb 2.88, 2 Tl 3.08
Cl: 0.8750 0.8292 0.7500  2 Sb 2.88, 2 Tl 3.08
Cl: 0.5792 0.1250 0.2500  2 Sb 2.88, 2 Tl 3.08
Tl: 0.0000 0.0000 0.0000  4 Cl 3.08
Tl: 0.7500 0.2500 0.5000  4 Cl 3.08
Cl: 0.1708 0.6250 0.2500  2 Sb 2.88, 2 Tl 3.08
Sb: 0.5000 0.5000 0.0000  4 Cl 2.88
Sb: 0.2500 0.7500 0.5000  4 Cl 2.88

(b)
DFT (PBE) results for a relaxed TlSbCl2 crystal.

As for the crystal system: trigonal. For the volume, the calculation gives 119.4 Å³ per cell.

Unit cell a=10.9121 b=10.9121 c=10.9121 alpha=18.92 beta=18.92 gamma=18.92
Last column: nearest neighbours and their distance in Å.
Fractional positions:
Tl: 0.7384 0.7384 0.7384  3 Cl 2.81
Cl: 0.2388 0.2388 0.2388  3 Sb 2.88
Sb: 0.5100 0.5100 0.5100  3 Cl 2.88
Cl: 0.0128 0.0128 0.0128  3 Tl 2.81

(c)
DFT (PBE) results for a relaxed TlSbCl2 crystal.

As for the crystal system: orthorhombic. For the volume, the calculation gives 104.4 Å³ per cell.

Unit cell a=3.3846 b=4.5054 c=6.8442 alpha=90.00 beta=90.00 gamma=90.00
Last column: nearest neighbours and their distance in Å.
Fractional positions:
Cl: 0.0000 0.0000 0.0127  4 Cl 3.25-3.60, 4 Sb 3.25, 4 Tl 3.34
Tl: 0.5000 0.5000 0.7500  8 Cl 3.34, 2 Tl 3.38, 2 Sb 3.42
Sb: 0.5000 0.5000 0.2500  8 Cl 3.25, 2 Sb 3.38, 2 Tl 3.42
Cl: 0.0000 0.0000 0.4873  4 Cl 3.25-3.60, 4 Sb 3.25, 4 Tl 3.34

(d)
DFT (PBE) results for a relaxed TlSbCl2 crystal.

As for the crystal system: monoclinic. For the volume, the calculation gives 116.6 Å³ per cell.

Unit cell a=6.0793 b=6.0793 c=5.9458 alpha=74.03 beta=74.03 gamma=33.63
Last column: nearest neighbours and their distance in Å.
Fractional positions:
Sb: 0.5395 0.5395 0.6202  1 Cl 2.46
Tl: 0.2313 0.2313 0.1462  5 Cl 3.02-3.37
Cl: 0.7416 0.7416 0.6725  1 Sb 2.46
Cl: 0.9877 0.9877 0.0611  3 Tl 3.02-3.37, 2 Sb 3.07

Most stable structure, least stable structure: (d), (c).

(a)
DFT (PBE) results for a relaxed TlSbCl4 crystal.

As for the crystal system: monoclinic. For the volume, the calculation gives 833.5 Å³ per cell.

Unit cell a=7.6789 b=10.2258 c=10.8171 alpha=101.10 beta=90.00 gamma=90.00
Last column: nearest neighbours and their distance in Å.
Fractional positions:
Cl: 0.3627 0.1656 0.5156  1 Sb 2.45
Tl: 0.7456 0.3191 0.6061  6 Cl 3.21-3.45
Cl: 0.4853 0.3127 0.8648  1 Sb 2.52
Cl: 0.0395 0.3958 0.8190  1 Sb 2.57
Cl: 0.4605 0.3958 0.3190  1 Sb 2.57
Cl: 0.6123 0.0607 0.2091  2 Sb 2.77-2.87
Cl: 0.5147 0.6873 0.1352  1 Sb 2.52
Cl: 0.8877 0.0607 0.7091  2 Sb 2.77-2.87
Sb: 0.7853 0.8213 0.2011  3 Cl 2.45-2.57
Cl: 0.9853 0.6873 0.6352  1 Sb 2.52
Cl: 0.1373 0.1656 0.0156  1 Sb 2.45
Cl: 0.6373 0.8344 0.4844  1 Sb 2.45
Cl: 0.3877 0.9393 0.7909  2 Sb 2.77-2.87
Tl: 0.2544 0.6809 0.3939  6 Cl 3.21-3.45
Sb: 0.7147 0.8213 0.7011  3 Cl 2.45-2.57
Sb: 0.2147 0.1787 0.7989  3 Cl 2.45-2.57
Cl: 0.5395 0.6042 0.6810  1 Sb 2.57
Sb: 0.2853 0.1787 0.2989  3 Cl 2.45-2.57
Cl: 0.1123 0.9393 0.2909  2 Sb 2.77-2.87
Cl: 0.9605 0.6042 0.1810  1 Sb 2.57
Tl: 0.2456 0.6809 0.8939  6 Cl 3.21-3.45
Cl: 0.0147 0.3127 0.3648  1 Sb 2.52
Tl: 0.7544 0.3191 0.1061  6 Cl 3.21-3.45
Cl: 0.8627 0.8344 0.9844  1 Sb 2.45

(b)
DFT (PBE) results for a relaxed TlSbCl4 crystal.

As for the crystal system: cubic. For the volume, the calculation gives 158.7 Å³ per cell.

Unit cell a=6.0769 b=6.0769 c=6.0769 alpha=60.00 beta=60.00 gamma=60.00
Last column: nearest neighbours and their distance in Å.
Fractional positions:
Cl: 0.3754 0.8737 0.3754  6 Cl 3.03-3.05
Cl: 0.3754 0.3754 0.3754  6 Cl 3.03-3.05
Cl: 0.3754 0.3754 0.8737  6 Cl 3.03-3.05
Sb: 0.7500 0.7500 0.7500  12 Cl 3.56, 4 Tl 3.72
Cl: 0.8737 0.3754 0.3754  6 Cl 3.03-3.05
Tl: 0.0000 0.0000 0.0000  12 Cl 3.56, 4 Sb 3.72

Most stable structure, least stable structure: (a), (b).

(a)
DFT (PBE) results for a relaxed Tl3SbCl crystal.

As for the crystal system: monoclinic. For the volume, the calculation gives 382.7 Å³ per cell.

Unit cell a=4.9844 b=9.1737 c=8.4340 alpha=82.87 beta=90.00 gamma=90.00
Last column: nearest neighbours and their distance in Å.
Fractional positions:
Cl: 0.2500 0.3974 0.1588  4 Tl 3.03-3.07
Tl: 0.7500 0.0286 0.3221  3 Sb 3.12-3.13, 1 Tl 3.35
Tl: 0.2500 0.9714 0.6779  3 Sb 3.12-3.13, 1 Tl 3.35
Tl: 0.2500 0.7173 0.9991  3 Cl 3.07, 1 Sb 3.34, 1 Tl 3.35
Cl: 0.7500 0.6026 0.8412  4 Tl 3.03-3.07
Tl: 0.7500 0.2827 0.0009  3 Cl 3.07, 1 Sb 3.34, 1 Tl 3.35
Sb: 0.7500 0.1778 0.6362  6 Tl 3.12-3.34
Sb: 0.2500 0.8222 0.3638  6 Tl 3.12-3.34
Tl: 0.2500 0.3802 0.5194  1 Cl 3.03, 2 Sb 3.19, 2 Tl 3.31
Tl: 0.7500 0.6198 0.4806  1 Cl 3.03, 2 Sb 3.19, 2 Tl 3.31

(b)
DFT (PBE) results for a relaxed Tl3SbCl crystal.

As for the crystal system: cubic. For the volume, the calculation gives 193.7 Å³ per cell.

Unit cell a=5.7857 b=5.7857 c=5.7857 alpha=90.00 beta=90.00 gamma=90.00
Last column: nearest neighbours and their distance in Å.
Fractional positions:
Tl: 0.5000 0.0000 0.0000  2 Cl 2.89
Cl: 0.0000 0.0000 0.0000  6 Tl 2.89
Tl: 0.0000 0.5000 0.0000  2 Cl 2.89
Sb: 0.5000 0.5000 0.5000  12 Tl 4.09
Tl: 0.0000 0.0000 0.5000  2 Cl 2.89

(c)
DFT (PBE) results for a relaxed Tl3SbCl crystal.

As for the crystal system: cubic. For the volume, the calculation gives 235.6 Å³ per cell.

Unit cell a=6.1759 b=6.1759 c=6.1759 alpha=90.00 beta=90.00 gamma=90.00
Last column: nearest neighbours and their distance in Å.
Fractional positions:
Tl: 0.5000 0.0000 0.0000  2 Sb 3.09
Cl: 0.5000 0.5000 0.5000  12 Tl 4.37
Tl: 0.0000 0.5000 0.0000  2 Sb 3.09
Tl: 0.0000 0.0000 0.5000  2 Sb 3.09
Sb: 0.0000 0.0000 0.0000  6 Tl 3.09

Most stable structure, least stable structure: (a), (c).